ScPd5Se | GGA-PBE | relaxed

a = 4.0520 Å, b = 4.0520 Å, c = 7.1081 Å
α = 90.00°, β = 90.00°, γ = 90.00°
With the nearest neighbours (Å) after each atom.
Space group P4/mmm (No. 123)
One atom of each set of equivalent atoms:
Sc 0.0000 0.0000 0.0000  12 Pd 2.82-2.87
Pd 0.0000 0.5000 0.2763  2 Se 2.58, 2 Sc 2.82, 6 Pd 2.82-2.87
Pd 0.5000 0.5000 0.0000  8 Pd 2.82, 4 Sc 2.87
Se 0.5000 0.5000 0.5000  8 Pd 2.58

## Properties
Size of the total moment in μB/cell: 0.012
Electronic total energy in Ha/atom: -0.210